# 1
Here is an optimized crystal structure of BaMgAu10 from Alexandria via LeMat-Bulk. Energies are from PBE-GGA.

Results
- Calculated formation energy: -288.7 meV per atom
- Crystal system: orthorhombic
- Density: 13.516 g cm⁻³
- Magnetization: 0.0 Bohr magnetons per cell

Unit cell a=4.769 b=5.583 c=9.835 alpha=90.00 beta=90.00 gamma=90.00
Space group Pmmm (No. 47)
One atom of each set of equivalent atoms:
Ba 0.000 0.000 0.000
Mg 0.000 0.500 0.500
Au 0.000 0.000 0.350
Au 0.000 0.500 0.211
Au 0.500 0.000 0.500
Au 0.500 0.247 0.248
Au 0.500 0.500 0.000

# 2
Here is an optimized crystal structure of BaMg3Au from Alexandria via LeMat-Bulk. Energies are from PBE-GGA.

Results
- Energy above the lowest structure with this stoichiometry: 0.27 eV/f.u.
- Calculated formation energy: -257.3 meV per atom
- Crystal system: hexagonal
- Density: 4.834 g cm⁻³
- Magnetization: 0.0 Bohr magnetons per cell

Unit cell a=7.2806 b=7.2806 c=6.0939 alpha=90.00 beta=90.00 gamma=120.00
Space group P6_3/mmc (No. 194)
One atom of each set of equivalent atoms:
Ba 0.3333 0.6667 0.2500
Mg 0.1825 0.3649 0.7500
Au 0.0000 0.0000 0.0000

# 3
Here is an optimized crystal structure of BaMgAu2 from Alexandria via LeMat-Bulk. Energies are from PBE-GGA.

Results
- Calculated formation energy: -664.7 meV per atom
- Crystal system: trigonal
- Density: 8.352 g cm⁻³
- Magnetization: 0.0 Bohr magnetons per cell

Unit cell a=4.7853 b=4.7853 c=16.7090 alpha=90.00 beta=90.00 gamma=120.00
Space group R-3m (No. 166, hexagonal axes)
One atom of each set of equivalent atoms:
Ba 0.0000 0.0000 0.0000
Mg 0.0000 0.0000 0.5000
Au 0.0000 0.0000 0.2037

# 4
Here is an optimized crystal structure of Ba2Mg12Au7 from Alexandria via LeMat-Bulk. Energies are from PBE-GGA.

Results
- Calculated formation energy: -541.1 meV per atom
- Crystal system: hexagonal
- Density: 6.735 g cm⁻³
- Magnetization: 0.0 Bohr magnetons per cell

Unit cell a=11.1725 b=11.1725 c=4.4361 alpha=90.00 beta=90.00 gamma=120.00
Space group P-6 (No. 174)
One atom of each set of equivalent atoms:
Ba 0.0000 0.0000 0.0000
Ba 0.3333 0.6667 0.5000
Mg 0.0452 0.2885 0.5000
Mg 0.1044 0.7179 0.0000
Mg 0.3899 0.1844 0.0000
Mg 0.5489 0.4276 0.5000
Au 0.0635 0.4508 0.0000
Au 0.2612 0.2233 0.5000
Au 0.6667 0.3333 0.0000

# 5
Here is an optimized crystal structure of Ba2Mg2Au15 from Alexandria via LeMat-Bulk. Energies are from PBE-GGA.

Results
- Calculated formation energy: -372.4 meV per atom
- Crystal system: trigonal
- Density: 13.500 g cm⁻³
- Magnetization: 0.0 Bohr magnetons per cell

Unit cell a=9.7585 b=9.7585 c=14.6660 alpha=90.00 beta=90.00 gamma=120.00
Space group R-3m (No. 166, hexagonal axes)
One atom of each set of equivalent atoms:
Ba 0.0000 0.0000 0.1512
Mg 0.0000 0.0000 0.3979
Au 0.0000 0.2942 0.5000
Au 0.0000 0.5000 0.0000
Au 0.0026 0.5013 0.3484

# 6
Here is an optimized crystal structure of BaMgAu2 from Alexandria via LeMat-Bulk. Energies are from PBE-GGA.

Results
- Calculated formation energy: -565.8 meV per atom
- Crystal system: monoclinic
- Density: 9.190 g cm⁻³
- Magnetization: 0.0 Bohr magnetons per cell

Unit cell a=3.677 b=3.669 c=7.441 alpha=90.00 beta=90.07 gamma=90.00
Space group P2/m (No. 10)
One atom of each set of equivalent atoms:
Ba 0.000 0.000 0.000
Mg 0.000 0.000 0.500
Au 0.499 0.500 0.692

# 7
Here is an optimized crystal structure of BaMg2Au from Alexandria via LeMat-Bulk. Energies are from PBE-GGA.

Results
- Calculated formation energy: -300.2 meV per atom
- Crystal system: tetragonal
- Density: 5.729 g cm⁻³
- Magnetization: 0.0 Bohr magnetons per cell

Unit cell a=3.673 b=3.673 c=8.228 alpha=90.00 beta=90.00 gamma=90.00
Space group P4mm (No. 99)
One atom of each set of equivalent atoms:
Ba 0.000 0.000 0.000
Mg 0.000 0.000 0.572
Mg 0.500 0.500 0.346
Au 0.500 0.500 0.713

# 8
Here is an optimized crystal structure of BaMgAu3 from Alexandria via LeMat-Bulk. Energies are from PBE-GGA.

Results
- Energy above the lowest structure with this stoichiometry: 4.71 eV/f.u.
- Calculated formation energy: 492.2 meV per atom
- Crystal system: cubic
- Density: 5.702 g cm⁻³
- Magnetization: 0.0 Bohr magnetons per cell

Unit cell a=6.029 b=6.029 c=6.029 alpha=90.00 beta=90.00 gamma=90.00
Space group Pm-3m (No. 221)
One atom of each set of equivalent atoms:
Ba 0.000 0.000 0.000
Mg 0.500 0.500 0.500
Au 0.000 0.000 0.500

# 9
Here is an optimized crystal structure of BaMg6Au3 from Alexandria via LeMat-Bulk. Energies are from PBE-GGA.

Results
- Calculated formation energy: -451.9 meV per atom
- Crystal system: monoclinic
- Density: 6.034 g cm⁻³
- Magnetization: 0.0 Bohr magnetons per cell

Unit cell a=10.129 b=4.407 c=10.869 alpha=90.00 beta=97.45 gamma=90.00
Space group P2_1/m (No. 11)
One atom of each set of equivalent atoms:
Ba 0.076 0.250 0.208
Mg 0.090 0.250 0.576
Mg 0.257 0.750 0.993
Mg 0.321 0.750 0.706
Mg 0.375 0.250 0.486
Mg 0.378 0.750 0.295
Mg 0.444 0.250 0.904
Au 0.184 0.250 0.827
Au 0.194 0.750 0.461
Au 0.409 0.250 0.152

# 10
Here is an optimized crystal structure of BaMg2Au from Alexandria via LeMat-Bulk. Energies are from PBE-GGA.

Results
- Calculated formation energy: -151.0 meV per atom
- Crystal system: tetragonal
- Density: 5.327 g cm⁻³
- Magnetization: 0.0 Bohr magnetons per cell

Unit cell a=4.642 b=4.642 c=5.540 alpha=90.00 beta=90.00 gamma=90.00
Space group P4/mmm (No. 123)
One atom of each set of equivalent atoms:
Ba 0.000 0.000 0.000
Mg 0.000 0.500 0.500
Au 0.500 0.500 0.000

# 11
Here is an optimized crystal structure of BaMg3Au from Alexandria via LeMat-Bulk. Energies are from PBE-GGA.

Results
- Energy above the lowest structure with this stoichiometry: 0.09 eV/f.u.
- Calculated formation energy: -293.2 meV per atom
- Crystal system: cubic
- Density: 4.628 g cm⁻³
- Magnetization: 0.7 Bohr magnetons per cell

Unit cell a=5.267 b=5.267 c=5.267 alpha=90.00 beta=90.00 gamma=90.00
Space group Pm-3m (No. 221)
One atom of each set of equivalent atoms:
Ba 0.000 0.000 0.000
Mg 0.000 0.500 0.500
Au 0.500 0.500 0.500

# 12
Here is an optimized crystal structure of Ba3Mg4Au4 from Alexandria via LeMat-Bulk. Energies are from PBE-GGA.

Results
- Energy above the lowest structure with this stoichiometry: 0.39 eV/f.u.
- Calculated formation energy: -544.5 meV per atom
- Crystal system: cubic
- Density: 6.739 g cm⁻³
- Magnetization: 0.0 Bohr magnetons per cell

Unit cell a=8.614 b=8.614 c=8.614 alpha=90.00 beta=90.00 gamma=90.00
Space group I-43m (No. 217)
One atom of each set of equivalent atoms:
Ba 0.000 0.000 0.500
Mg 0.132 0.132 0.132
Au 0.185 0.185 0.815